First-principles (PBE) data for a geometry-optimized Mg2VPd2 structure, as listed in Alexandria.

The space group is P4/mbm (No. 127) and the conventional cell measures 7.5273, 7.5273 and 3.0180 Å, with angles of 90.00, 90.00 and 90.00 degrees. The asymmetric unit holds Mg at (0.1540, 0.3460, 0.0000), V at (0.0000, 0.0000, 0.5000) and Pd at (0.1442, 0.6442, 0.5000).

The electronic total energy comes out at -4.75 eV per atom. Its formation enthalpy at 0 K is -214 meV per atom.

---

First-principles (PBE) data for a geometry-optimized AgHg2BO4 structure, as listed in Alexandria.

The space group is C2/c (No. 15) and the conventional cell measures 11.5526, 7.7590 and 7.4566 Å, with angles of 90.00, 123.63 and 90.00 degrees. The asymmetric unit holds Ag at (0.2500, 0.2500, 0.0000), Hg at (0.0000, 0.0000, 0.0000), Hg at (0.2500, 0.2500, 0.5000), B at (0.0000, 0.5000, 0.0000), O at (0.0498, 0.3485, 0.0428) and O at (0.1579, 0.0119, 0.4408).

The calculation puts the formation energy from raw total energies at -0.77 eV/atom. The electronic total energy comes out at -4.51 eV per atom.

---

First-principles (PBE) data for a geometry-optimized VHPdRu2 structure, as listed in Alexandria.

The space group is P4/mmm (No. 123) and the conventional cell measures 3.8791, 3.8791 and 3.8640 Å, with angles of 90.00, 90.00 and 90.00 degrees. The asymmetric unit holds V at (0.0000, 0.0000, 0.0000), H at (0.0000, 0.0000, 0.5000), Pd at (0.5000, 0.5000, 0.0000) and Ru at (0.0000, 0.5000, 0.5000).

The electronic total energy comes out at -7.32 eV per atom.

---

First-principles (PBE) data for a geometry-optimized Na2SbPdPb structure, as listed in Alexandria.

The space group is Imm2 (No. 44) and the conventional cell measures 3.7276, 4.7888 and 14.5174 Å, with angles of 90.00, 90.00 and 90.00 degrees. The asymmetric unit holds Na at (0.0000, 0.0000, 0.0000), Na at (0.0000, 0.0000, 0.3357), Sb at (0.0000, 0.0000, 0.7725), Pd at (0.0000, 0.5000, 0.6751) and Pb at (0.0000, 0.0000, 0.5686).

The calculation puts the formation energy from raw total energies at -0.23 eV/atom. The electronic total energy comes out at -3.37 eV per atom.